The following is a DFT calculation (PBE-GGA) of a relaxed structure of CdAuBr2.

Values from the calculation:
**DOS at the Fermi energy**: 1.661 states/eV per cell
**Energy above the most stable polymorph in this dataset**: 0.179 eV per atom
**Calculated volume**: 26.55 Å³ per atom
**E_form (uncorrected)**: -0.09 eV/atom
**ρ**: 7.3 g cm⁻³

Cell: 3.5765 3.5765 8.3011 Å, 90.00 90.00 90.00°
Closest atoms and distances in Å follow each position.
Element x y z (fractional)
Cd 0.0000 0.0000 0.0000  4 Au 2.99, 5 Br 3.03-3.18
Au 0.5000 0.5000 0.1919  5 Br 2.99-3.27, 4 Cd 2.99
Br 0.0000 0.0000 0.3832  4 Au 2.99, 1 Cd 3.18
Br 0.5000 0.5000 0.7981  4 Cd 3.03, 1 Au 3.27

The following is a DFT calculation (PBE-GGA) of a relaxed structure of Ac3Nd3DyS8.

Values from the calculation:
**DOS at the Fermi energy**: 7.194 states/eV per cell
**Calculated volume**: 27.18 Å³ per atom
**E_form (uncorrected)**: -2.04 eV/atom
**ρ**: 6.2 g cm⁻³

Cell: 8.4038 8.4038 8.4038 Å, 58.75 58.75 58.75°
Closest atoms and distances in Å follow each position.
Element x y z (fractional)
Ac 0.0000 0.5000 0.5000  6 S 3.00
Ac 0.5000 0.0000 0.5000  6 S 3.00
Ac 0.5000 0.5000 0.0000  6 S 3.00
Nd 0.0000 0.0000 0.5000  6 S 2.88-2.89
Nd 0.0000 0.5000 0.0000  6 S 2.88-2.89
Nd 0.5000 0.0000 0.0000  6 S 2.88-2.89
Dy 0.5000 0.5000 0.5000  6 S 2.80
S 0.2451 0.2451 0.2451  3 Nd 2.88, 3 Ac 3.00
S 0.2533 0.7376 0.7376  1 Dy 2.80, 2 Nd 2.89, 2 Ac 3.00
S 0.2624 0.2624 0.7467  1 Dy 2.80, 2 Nd 2.89, 2 Ac 3.00
S 0.2624 0.7467 0.2624  1 Dy 2.80, 2 Nd 2.89, 2 Ac 3.00
S 0.7376 0.2533 0.7376  1 Dy 2.80, 2 Nd 2.89, 2 Ac 3.00
S 0.7376 0.7376 0.2533  1 Dy 2.80, 2 Nd 2.89, 2 Ac 3.00
S 0.7467 0.2624 0.2624  1 Dy 2.80, 2 Nd 2.89, 2 Ac 3.00
S 0.7549 0.7549 0.7549  3 Nd 2.88, 3 Ac 3.00